No. 1
A plane-wave DFT calculation with PBE was carried out for a relaxed structure of Dy2Er13.

Cell lengths 8.7498, 8.7498, 9.3596 Å; angles 62.13, 62.13, 60.00 degrees
Last column: nearest neighbours and their distance in Å.
Positions (direct):
Dy1 0.2421 0.2421 0.2737  6 Er 3.25-3.43
Dy2 0.7579 0.7579 0.7263  6 Er 3.25-3.43
Er1 0.5000 0.5000 0.5000  6 Er 3.71
Er2 0.6089 0.2414 0.9084  7 Er 3.22-3.54, 1 Dy 3.43
Er3 0.2414 0.2414 0.9084  7 Er 3.22-3.54, 1 Dy 3.43
Er4 0.2414 0.6089 0.9084  7 Er 3.22-3.54, 1 Dy 3.43
Er5 0.7586 0.3911 0.0916  7 Er 3.22-3.54, 1 Dy 3.43
Er6 0.3911 0.7586 0.0916  7 Er 3.22-3.54, 1 Dy 3.43
Er7 0.7586 0.7586 0.0916  7 Er 3.22-3.54, 1 Dy 3.43
Er8 0.6517 0.0126 0.3231  5 Er 3.12-3.32, 1 Dy 3.25
Er9 0.0126 0.0126 0.3231  5 Er 3.12-3.32, 1 Dy 3.25
Er10 0.0126 0.6517 0.3231  5 Er 3.12-3.32, 1 Dy 3.25
Er11 0.9874 0.3483 0.6769  5 Er 3.12-3.32, 1 Dy 3.25
Er12 0.3483 0.9874 0.6769  5 Er 3.12-3.32, 1 Dy 3.25
Er13 0.9874 0.9874 0.6769  5 Er 3.12-3.32, 1 Dy 3.25

space-group type: R-3m, No. 166
energy of formation: 879 kJ/mol of formula units

=====

No. 2
A plane-wave DFT calculation with PBE was carried out for a relaxed structure of HfTiC3.

Cell lengths 3.9247, 3.9247, 3.9247 Å; angles 90.00, 90.00, 90.00 degrees
Last column: nearest neighbours and their distance in Å.
Positions (direct):
C1 0.0000 0.5000 0.0000  2 Ti 1.96
C2 0.0000 0.0000 0.5000  2 Ti 1.96
C3 0.5000 0.0000 0.0000  2 Ti 1.96
Hf1 0.5000 0.5000 0.5000  12 C 2.78
Ti1 0.0000 0.0000 0.0000  6 C 1.96

space-group type: Pm-3m, No. 221
energy of formation: 534 kJ/mol of formula units

=====

No. 3
A plane-wave DFT calculation with PBE was carried out for a relaxed structure of Cd2POs.

Cell lengths 3.6805, 3.6805, 5.2052 Å; angles 90.00, 90.00, 90.00 degrees
Last column: nearest neighbours and their distance in Å.
Positions (direct):
Cd1 0.0000 0.0000 0.0007  2 Cd 2.60-2.61
Cd2 0.0000 0.0000 0.4993  2 Cd 2.60-2.61
Os1 0.5000 0.5000 0.2500  2 P 2.60, 8 Cd 2.91
P1 0.5000 0.5000 0.7500  2 Os 2.60, 8 Cd 2.91

space-group type: P4/mmm, No. 123
energy of formation: 247 kJ/mol of formula units

=====

No. 4
A plane-wave DFT calculation with PBE was carried out for a relaxed structure of Th6SbIr3S2.

Cell lengths 4.1392, 8.7209, 9.6389 Å; angles 107.22, 102.40, 90.00 degrees
Last column: nearest neighbours and their distance in Å.
Positions (direct):
Th1 0.3236 0.9319 0.6472  3 Ir 2.81-2.92
Th2 0.6633 0.5916 0.3265  3 Ir 2.90-2.93, 3 S 3.03-3.07
Th3 0.6764 0.0681 0.3528  3 Ir 2.81-2.92
Th4 0.9942 0.2732 0.9883  3 Ir 2.84-2.89, 1 S 3.16
Th5 0.0058 0.7268 0.0117  3 Ir 2.84-2.89, 1 S 3.16
Th6 0.3367 0.4084 0.6735  3 Ir 2.90-2.93, 3 S 3.03-3.07
Sb1 0.5000 0.0000 0.0000  6 Th 3.18-3.19
Ir1 0.5000 0.5000 0.0000  6 Th 2.84-2.93
Ir2 0.8329 0.1728 0.6657  6 Th 2.81-2.92
Ir3 0.1671 0.8272 0.3343  6 Th 2.81-2.92
S1 0.8314 0.6646 0.6628  6 Th 3.03-3.16
S2 0.1686 0.3354 0.3372  6 Th 3.03-3.16

formation energy from raw total energies: -1206.1 meV per atom
space-group type: C2/m, No. 12

=====

Per-record D(E_F), states/eV per atom: 1.25 0.81 0.71 0.84